# 1
Entry from the Alexandria database: a crystal of Ti2ZnHRu relaxed with PBEsol (meta-GGA SCAN).

As for the space group: P4/mmm (123). For the raw total energy, the calculation gives -79.76 eV per formula unit.

POSCAR file:
```
Ti2ZnHRu
1.0
4.554 0.000 0.000
0.000 4.554 0.000
0.000 0.000 4.773
Ti Zn H Ru
2 1 1 1
Direct
0.000 0.500 0.000
0.500 0.000 0.000
0.000 0.000 0.500
0.500 0.500 0.500
0.000 0.000 0.000
```

---

# 2
Entry from the Alexandria database: a crystal of CaTc2Rh relaxed with PBEsol (meta-GGA SCAN).

As for the space group: I4/mmm (139). The calculation puts the energy relative to the elements at 0.44 eV/atom. For the raw total energy, the calculation gives -111.80 eV per formula unit.

POSCAR file:
```
CaTc2Rh
1.0
3.737 0.000 0.000
0.000 3.737 0.000
0.000 0.000 9.113
Ca Tc Rh
2 4 2
Direct
0.000 0.000 0.000
0.500 0.500 0.500
0.000 0.500 0.250
0.000 0.500 0.750
0.500 0.000 0.250
0.500 0.000 0.750
0.000 0.000 0.500
0.500 0.500 0.000
```